# 1
PBE-GGA ZnInFeCo, optimized geometry; distance to the lowest polymorph of the same formula = 0.0 kJ per mole of atoms; SG = F-43m (216)
1.0
0.5810 1.2942 4.0832
-3.3805 1.3107 2.3536
-1.4361 -2.4405 3.2659
Co Zn In Fe
1 1 1 1
Direct
0.5000 0.5000 0.5000
0.0000 0.0000 0.0000
0.2500 0.2500 0.2500
0.7500 0.7500 0.7500

# 2
PBE-GGA NdPaNO, optimized geometry; distance to the lowest polymorph of the same formula = 13.8 kJ per mole of atoms; SG = Pmc2_1 (26)
1.0
-1.1093 -1.8732 3.1877
-2.5096 -4.4635 -3.4962
5.8281 -3.3318 0.0702
Nd Pa N O
2 2 2 2
Direct
0.0000 0.5017 0.3343
0.0000 0.0017 0.6657
0.5000 0.4916 0.8360
0.5000 0.9916 0.1640
0.0000 0.9085 0.3170
0.0000 0.4085 0.6830
0.5000 0.3521 0.1545
0.5000 0.8521 0.8455

# 3
PBE-GGA HfZnCuOs, optimized geometry; distance to the lowest polymorph of the same formula = 0.0 kJ per mole of atoms; SG = F-43m (216); energy of formation = -128 meV per atom
1.0
-2.5202 -0.7702 3.5707
-2.0650 3.3653 2.0262
-4.4128 0.3834 -0.2740
Zn Os Hf Cu
1 1 1 1
Direct
0.0000 0.0000 0.0000
0.2500 0.2500 0.2500
0.5000 0.5000 0.5000
0.7500 0.7500 0.7500

# 4
PBE-GGA Zn2As3PPb2, optimized geometry; VASP energy = -0.27157 Ry per atom; SG = C2 (5)
1.0
6.7258 -2.9843 0.0000
6.7258 2.9843 0.0000
-2.6374 0.0000 5.3433
As Zn Pb P
3 2 2 1
Direct
0.6266 0.8729 0.2911
0.1271 0.3734 0.7089
0.3398 0.6602 0.5000
0.9978 0.7619 0.6406
0.2381 0.0022 0.3594
0.5069 0.2440 0.1218
0.7560 0.4931 0.8782
0.9077 0.0923 0.0000

# 5
PBE-GGA GdMo3S6, optimized geometry; VASP energy = -0.50760 Ry per atom; SG = P2_1/m (11)
1.0
10.0398 0.0000 0.0000
0.0000 3.6302 0.0000
-3.0937 0.0000 10.0199
S Mo Gd
12 6 2
Direct
0.7113 0.2500 0.2453
0.6311 0.7500 0.4669
0.1007 0.2500 0.9375
0.9773 0.7500 0.6052
0.3689 0.2500 0.5331
0.7729 0.2500 0.7154
0.5852 0.2500 0.9170
0.8993 0.7500 0.0625
0.0227 0.2500 0.3948
0.2271 0.7500 0.2846
0.4148 0.7500 0.0830
0.2887 0.7500 0.7547
0.6657 0.7500 0.0858
0.9348 0.7500 0.8340
0.8147 0.2500 0.4853
0.0652 0.2500 0.1660
0.1853 0.7500 0.5147
0.3343 0.2500 0.9142
0.5525 0.7500 0.7100
0.4475 0.2500 0.2900

# 6
PBE-GGA TbAsAuO, optimized geometry; distance to the lowest polymorph of the same formula = 0.0 kJ per mole of atoms; SG = P4/nmm (129)
1.0
4.0354 0.0000 0.0000
0.0000 4.0354 0.0000
0.0000 0.0000 8.9663
Au Tb As O
2 2 2 2
Direct
0.5000 0.5000 0.5000
0.0000 0.0000 0.5000
0.0000 0.5000 0.8807
0.5000 0.0000 0.1193
0.5000 0.0000 0.6965
0.0000 0.5000 0.3035
0.0000 0.0000 0.0000
0.5000 0.5000 0.0000

# 7
PBE-GGA NaSnPd2, optimized geometry; VASP energy = -0.31310 Ry per atom; SG = P4/mmm (123)
1.0
3.2794 0.0000 0.0000
0.0000 3.2794 0.0000
0.0000 0.0000 7.1140
Na Sn Pd
1 1 2
Direct
0.0000 0.0000 0.5000
0.0000 0.0000 0.0000
0.5000 0.5000 0.2131
0.5000 0.5000 0.7869

# 8
PBE-GGA HfInAgS3, optimized geometry; distance to the lowest polymorph of the same formula = 6.7 kJ per mole of atoms; SG = Pnma (62)
1.0
-5.8482 -4.7158 -9.3026
3.1739 -0.4923 -1.7457
1.0376 -11.2860 5.0690
Ag Hf S In
4 4 12 4
Direct
0.3865 0.0000 0.3070
0.6135 0.5000 0.6930
0.1135 0.0000 0.8070
0.8865 0.5000 0.1930
0.8515 0.0000 0.5209
0.3515 0.5000 0.9791
0.6485 0.0000 0.0209
0.1485 0.5000 0.4791
0.2021 0.0000 0.0009
0.2979 0.0000 0.5009
0.7994 0.0000 0.7157
0.2006 0.5000 0.2843
0.5546 0.5000 0.9036
0.7006 0.0000 0.2156
0.2994 0.5000 0.7843
0.0546 0.0000 0.5964
0.4454 0.0000 0.0964
0.7979 0.5000 0.9991
0.7021 0.5000 0.4991
0.9454 0.5000 0.4036
0.0720 0.0000 0.1804
0.4280 0.0000 0.6804
0.9280 0.5000 0.8196
0.5720 0.5000 0.3196

# 9
PBE-GGA Tb2Cu2SnGe, optimized geometry; VASP energy = -0.35617 Ry per atom; SG = P3m1 (156)
1.0
4.4188 0.0000 0.0000
-2.2094 3.8268 0.0000
0.0000 0.0000 7.2726
Cu Ge Tb Sn
2 1 2 1
Direct
0.6667 0.3333 0.4638
0.3333 0.6667 0.9430
0.3333 0.6667 0.5324
0.0000 0.0000 0.2654
0.0000 0.0000 0.7475
0.6667 0.3333 0.0268

# 10
PBE-GGA HfTl2Cd, optimized geometry; VASP energy = -0.25564 Ry per atom; SG = F-43m (216)
1.0
0.7662 -3.2774 -3.9776
2.5150 -4.4968 0.7768
-2.6033 -4.5092 -0.1989
Tl Cd Hf
2 1 1
Direct
0.2500 0.2500 0.2500
0.0000 0.0000 0.0000
0.7500 0.7500 0.7500
0.5000 0.5000 0.5000

# 11
PBE-GGA Dy2Ho2I3Br2N, optimized geometry; VASP energy = -0.35617 Ry per atom; SG = C2/m (12)
1.0
-4.0722 6.9016 -4.8145
-6.9968 5.5743 -2.7139
2.9497 4.0884 6.6901
I Dy Br Ho N
3 2 2 2 1
Direct
0.5000 0.5000 0.5000
0.1707 0.1707 0.8116
0.8293 0.8293 0.1884
0.3699 0.3699 0.9352
0.6301 0.6301 0.0648
0.1566 0.1566 0.3248
0.8434 0.8434 0.6752
0.9992 0.9992 0.1892
0.0008 0.0008 0.8108
0.5000 0.5000 0.0000

# 12
PBE-GGA KGdFeSe3, optimized geometry; distance to the lowest polymorph of the same formula = 0.0 kJ per mole of atoms; SG = P2_1/m (11)
1.0
9.0037 0.0000 0.0000
0.0000 4.1144 0.0000
-2.9570 0.0000 9.3568
Se Gd K Fe
6 2 2 2
Direct
0.7111 0.7500 0.0371
0.0449 0.2500 0.3407
0.2889 0.2500 0.9629
0.4045 0.7500 0.6586
0.5955 0.2500 0.3414
0.9551 0.7500 0.6593
0.8272 0.7500 0.3553
0.1728 0.2500 0.6447
0.7182 0.2500 0.7503
0.2818 0.7500 0.2497
0.5721 0.2500 0.0882
0.4279 0.7500 0.9118